Density functional theory data (PBE) for MnPI2N after structural relaxation.

Cell lengths 5.831, 5.831, 3.423 Å; angles 90.00, 90.00, 90.00 degrees
Fractional positions:
Mn: 0.000 0.000 0.000
P: 0.500 0.500 0.500
I: 0.000 0.500 0.500
I: 0.500 0.000 0.500
N: 0.500 0.500 0.000

- Formation energy without anion corrections: 0.718 eV/atom
- SG: P4/mmm
- Crystal system: tetragonal

Density functional theory data (PBE) for Ac8Ir3RuBr3 after structural relaxation.

Cell lengths 8.710, 8.710, 9.637 Å; angles 116.89, 116.89, 59.98 degrees
Fractional positions:
Ac: 0.229 0.229 0.693
Ac: 0.230 0.735 0.693
Ac: 0.265 0.770 0.307
Ac: 0.269 0.269 0.307
Ac: 0.731 0.731 0.693
Ac: 0.735 0.230 0.693
Ac: 0.770 0.265 0.307
Ac: 0.771 0.771 0.307
Ir: 0.000 0.500 0.500
Ir: 0.500 0.000 0.500
Ir: 0.500 0.500 0.500
Ru: 0.000 0.000 0.500
Br: 0.000 0.000 0.000
Br: 0.000 0.500 0.000
Br: 0.500 0.000 0.000

- Formation energy without anion corrections: -0.979 eV/atom
- SG: C2/m
- Crystal system: monoclinic

Density functional theory data (PBE) for NbS2F5 after structural relaxation.

Cell lengths 6.783, 6.783, 6.783 Å; angles 96.53, 95.78, 141.77 degrees
Fractional positions:
Nb: 0.000 0.000 0.000
S: 0.214 0.714 0.500
S: 0.644 0.144 0.500
F: 0.046 0.047 0.287
F: 0.046 0.758 0.999
F: 0.429 0.429 0.000
F: 0.759 0.047 0.001
F: 0.759 0.758 0.713

- Formation energy without anion corrections: -2.064 eV/atom
- SG: Imm2
- Crystal system: orthorhombic

Density functional theory data (PBE) for Tb6Pr3Sm2In after structural relaxation.

Cell lengths 6.188, 6.188, 11.837 Å; angles 95.03, 95.03, 120.02 degrees
Fractional positions:
Tb: 0.081 0.407 0.244
Tb: 0.245 0.245 0.755
Tb: 0.407 0.081 0.244
Tb: 0.593 0.919 0.756
Tb: 0.755 0.755 0.245
Tb: 0.919 0.593 0.756
Pr: 0.168 0.832 0.500
Pr: 0.500 0.500 0.500
Pr: 0.832 0.168 0.500
Sm: 0.334 0.666 0.000
Sm: 0.666 0.334 0.000
In: 0.000 0.000 0.000

- DFT formation energy: -0.048 eV/atom
- SG: C2/m
- Crystal system: monoclinic

Density functional theory data (PBE) for HfIn3Hg after structural relaxation.

Cell lengths 5.684, 5.684, 5.684 Å; angles 90.00, 90.00, 90.00 degrees
Fractional positions:
Hf: 0.000 0.000 0.000
In: 0.000 0.000 0.500
In: 0.000 0.500 0.000
In: 0.500 0.000 0.000
Hg: 0.500 0.500 0.500

- DFT formation energy: 0.592 eV/atom
- SG: Pm-3m
- Energy above the lowest structure with this stoichiometry: 0.0 kJ per mole of atoms
- Crystal system: cubic

Density functional theory data (PBE) for Tl3BiI6 after structural relaxation.

Cell lengths 14.024, 9.535, 13.750 Å; angles 90.00, 103.47, 90.00 degrees
Fractional positions:
Tl: 0.043 0.180 0.314
Tl: 0.043 0.320 0.814
Tl: 0.211 0.635 0.982
Tl: 0.211 0.865 0.482
Tl: 0.384 0.135 0.135
Tl: 0.384 0.365 0.635
Tl: 0.616 0.635 0.365
Tl: 0.616 0.865 0.865
Tl: 0.789 0.135 0.518
Tl: 0.789 0.365 0.018
Tl: 0.957 0.680 0.186
Tl: 0.957 0.820 0.686
Bi: 0.259 0.507 0.294
Bi: 0.259 0.993 0.794
Bi: 0.741 0.007 0.206
Bi: 0.741 0.493 0.706
I: 0.096 0.525 0.411
I: 0.096 0.975 0.911
I: 0.101 0.127 0.616
I: 0.101 0.373 0.116
I: 0.194 0.694 0.705
I: 0.194 0.806 0.205
I: 0.311 0.210 0.380
I: 0.311 0.290 0.880
I: 0.402 0.657 0.466
I: 0.402 0.843 0.966
I: 0.419 0.004 0.670
I: 0.419 0.496 0.170
I: 0.581 0.504 0.830
I: 0.581 0.996 0.330
I: 0.598 0.157 0.034
I: 0.598 0.343 0.534
I: 0.689 0.710 0.120
I: 0.689 0.790 0.620
I: 0.806 0.194 0.795
I: 0.806 0.306 0.295
I: 0.899 0.627 0.884
I: 0.899 0.873 0.384
I: 0.904 0.025 0.089
I: 0.904 0.475 0.589

- Formation energy without anion corrections: -0.578 eV/atom
- SG: P2_1/c
- Energy above the lowest structure with this stoichiometry: 0.0 kJ per mole of atoms
- Crystal system: monoclinic

Per-record Fermi-level density of states, states/eV per cell: 3.103; 5.440; 3.057; 16.296; 4.435; 0.000